Computed, not measured: an optimized crystal structure of PRu2Se at the PBE level of DFT.

Cell lengths 2.9463, 3.9716, 5.1979 Å; angles 90.00, 90.00, 90.00 degrees
Last column: nearest neighbours and their distance in Å.
Fractional coordinates of all 4 atoms:
1 P 0.0000 0.5000 0.5000  4 Ru 2.47
2 Ru 0.0000 0.0000 0.0000  4 Se 2.47
3 Ru 0.5000 0.0000 0.5000  4 P 2.47
4 Se 0.5000 0.5000 0.0000  4 Ru 2.47

Summary:
Crystal system: orthorhombic
DOS(E_F) (states/eV/f.u.): 4.0
E_form (uncorrected) (eV/atom): 0.442
DFT total energy (eV/atom): -6.42